(1)
{
  "formula": "Pu4Zn5Rh6",
  "functional": "GGA-PBE",
  "state": "relaxed",
  "lattice": [[2.107, -9.578, 0.000], [2.107, 9.578, 0.000], [0.000, 0.000, 13.645]],
  "species": ["Pu", "Pu", "Pu", "Pu", "Pu", "Pu", "Pu", "Pu", "Zn", "Zn", "Zn", "Zn", "Zn", "Zn", "Zn", "Zn", "Zn", "Zn", "Rh", "Rh", "Rh", "Rh", "Rh", "Rh", "Rh", "Rh", "Rh", "Rh", "Rh", "Rh"],
  "fractional_positions": [[0.034, 0.966, 0.500], [0.049, 0.951, 0.763], [0.140, 0.860, 0.283], [0.172, 0.828, 0.927], [0.828, 0.172, 0.427], [0.860, 0.140, 0.783], [0.951, 0.049, 0.263], [0.966, 0.034, 0.000], [0.182, 0.818, 0.612], [0.314, 0.686, 0.249], [0.316, 0.684, 0.601], [0.340, 0.660, 0.962], [0.457, 0.543, 0.655], [0.543, 0.457, 0.155], [0.660, 0.340, 0.462], [0.684, 0.316, 0.101], [0.686, 0.314, 0.749], [0.818, 0.182, 0.112], [0.101, 0.899, 0.094], [0.237, 0.763, 0.434], [0.263, 0.737, 0.776], [0.412, 0.588, 0.123], [0.418, 0.582, 0.453], [0.457, 0.543, 0.850], [0.543, 0.457, 0.350], [0.582, 0.418, 0.953], [0.588, 0.412, 0.623], [0.737, 0.263, 0.276], [0.763, 0.237, 0.934], [0.899, 0.101, 0.594]],
  "delta_e_f_mev_per_atom": -361,
  "energy_ev_per_cell": -226.45
}

***

(2)
{
  "formula": "InAg2Pt",
  "functional": "GGA-PBE",
  "state": "relaxed",
  "lattice": [[4.758, -1.509, 0.000], [4.758, 1.509, 0.000], [-1.002, 0.000, 5.062]],
  "species": ["In", "Ag", "Ag", "Pt"],
  "fractional_positions": [[0.000, 0.000, 0.000], [0.509, 0.509, 0.513], [0.757, 0.757, 0.296], [0.256, 0.256, 0.794]],
  "delta_e_f_mev_per_atom": -106,
  "energy_ev_per_cell": -14.90
}

***

(3)
{
  "formula": "Pr2Er13",
  "functional": "GGA-PBE",
  "state": "relaxed",
  "lattice": [[6.561, 0.000, 0.000], [1.395, 8.573, 0.000], [0.914, 3.084, 8.352]],
  "species": ["Pr", "Pr", "Er", "Er", "Er", "Er", "Er", "Er", "Er", "Er", "Er", "Er", "Er", "Er", "Er"],
  "fractional_positions": [[0.198, 0.307, 0.396], [0.802, 0.693, 0.604], [0.000, 0.500, 0.000], [0.096, 0.925, 0.694], [0.136, 0.699, 0.263], [0.238, 0.075, 0.976], [0.335, 0.497, 0.670], [0.430, 0.922, 0.359], [0.466, 0.697, 0.935], [0.534, 0.303, 0.065], [0.570, 0.078, 0.641], [0.665, 0.503, 0.330], [0.762, 0.925, 0.024], [0.864, 0.301, 0.737], [0.904, 0.075, 0.306]],
  "delta_e_f_mev_per_atom": 49,
  "energy_ev_per_cell": -68.14
}

***

(4)
{
  "formula": "Ti2SnH2",
  "functional": "GGA-PBE",
  "state": "relaxed",
  "lattice": [[7.132, 0.000, 0.000], [0.000, 7.132, 0.000], [0.000, 0.000, 2.807]],
  "species": ["Ti", "Ti", "Ti", "Ti", "Sn", "Sn", "H", "H", "H", "H"],
  "fractional_positions": [[0.126, 0.374, 0.000], [0.374, 0.874, 0.000], [0.626, 0.126, 0.000], [0.874, 0.626, 0.000], [0.000, 0.000, 0.000], [0.500, 0.500, 0.000], [0.091, 0.591, 0.500], [0.409, 0.091, 0.500], [0.591, 0.909, 0.500], [0.909, 0.409, 0.500]],
  "energy_ev_per_cell": -50.55,
  "relative_energy_kcal_per_mol_atoms": 15.46
}

***

(5)
{
  "formula": "KMgHgBi",
  "functional": "GGA-PBE",
  "state": "relaxed",
  "lattice": [[0.000, 3.889, 3.889], [3.889, 0.000, 3.889], [3.889, 3.889, 0.000]],
  "species": ["K", "Mg", "Hg", "Bi"],
  "fractional_positions": [[0.000, 0.000, 0.000], [0.500, 0.500, 0.500], [0.750, 0.750, 0.750], [0.250, 0.250, 0.250]],
  "delta_e_f_mev_per_atom": -220,
  "energy_ev_per_cell": -7.76
}

***

(6)
{
  "formula": "BaReTeI2",
  "functional": "GGA-PBE",
  "state": "relaxed",
  "lattice": [[5.696, 0.000, 0.000], [0.000, 5.696, 0.000], [0.000, 0.000, 5.180]],
  "species": ["Ba", "Re", "Te", "I", "I"],
  "fractional_positions": [[0.000, 0.000, 0.000], [0.500, 0.500, 0.500], [0.500, 0.500, 0.000], [0.000, 0.500, 0.500], [0.500, 0.000, 0.500]],
  "energy_ev_per_cell": -21.34,
  "relative_energy_kcal_per_mol_atoms": 0.00,
  "formation_energy_uncorrected_ev_per_atom": -0.1452
}

***

(7)
{
  "formula": "YGa5Ru2",
  "functional": "GGA-PBE",
  "state": "relaxed",
  "lattice": [[-1.674, 4.085, 5.072], [1.674, -4.085, 5.072], [1.674, 4.085, -5.072]],
  "species": ["Y", "Ga", "Ga", "Ga", "Ga", "Ga", "Ru", "Ru"],
  "fractional_positions": [[0.000, 0.000, 0.000], [0.139, 0.355, 0.785], [0.430, 0.645, 0.785], [0.500, 0.000, 0.500], [0.570, 0.355, 0.215], [0.861, 0.645, 0.215], [0.257, 0.757, 0.500], [0.743, 0.243, 0.500]],
  "delta_e_f_mev_per_atom": -388,
  "energy_ev_per_cell": -43.25
}

***

(8)
{
  "formula": "RbMgI3",
  "functional": "GGA-PBE",
  "state": "relaxed",
  "lattice": [[10.550, 0.000, 0.000], [0.000, 4.443, 0.000], [0.000, 0.000, 17.029]],
  "species": ["Rb", "Rb", "Rb", "Rb", "Mg", "Mg", "Mg", "Mg", "I", "I", "I", "I", "I", "I", "I", "I", "I", "I", "I", "I"],
  "fractional_positions": [[0.053, 0.250, 0.174], [0.447, 0.750, 0.674], [0.553, 0.250, 0.326], [0.947, 0.750, 0.826], [0.158, 0.750, 0.446], [0.342, 0.250, 0.946], [0.658, 0.750, 0.054], [0.842, 0.250, 0.554], [0.023, 0.750, 0.599], [0.177, 0.750, 0.004], [0.232, 0.250, 0.794], [0.268, 0.750, 0.294], [0.323, 0.250, 0.504], [0.477, 0.250, 0.099], [0.523, 0.750, 0.901], [0.677, 0.750, 0.496], [0.732, 0.250, 0.706], [0.768, 0.750, 0.206], [0.823, 0.250, 0.996], [0.977, 0.250, 0.401]],
  "energy_ev_per_cell": -53.15,
  "formation_energy_uncorrected_ev_per_atom": -1.2150
}

***

(9)
{
  "formula": "Pa6IrRh5",
  "functional": "GGA-PBE",
  "state": "relaxed",
  "lattice": [[6.842, 0.000, 0.000], [-3.421, 5.926, 0.000], [0.000, 0.000, 13.550]],
  "species": ["Pa", "Pa", "Pa", "Pa", "Pa", "Pa", "Pa", "Pa", "Pa", "Pa", "Pa", "Pa", "Ir", "Ir", "Rh", "Rh", "Rh", "Rh", "Rh", "Rh", "Rh", "Rh", "Rh", "Rh"],
  "fractional_positions": [[0.000, 0.319, 0.116], [0.000, 0.319, 0.384], [0.000, 0.681, 0.616], [0.000, 0.681, 0.884], [0.319, 0.000, 0.116], [0.319, 0.000, 0.384], [0.319, 0.319, 0.616], [0.319, 0.319, 0.884], [0.681, 0.000, 0.616], [0.681, 0.000, 0.884], [0.681, 0.681, 0.116], [0.681, 0.681, 0.384], [0.000, 0.000, 0.250], [0.000, 0.000, 0.750], [0.000, 0.403, 0.750], [0.000, 0.597, 0.250], [0.333, 0.667, 0.000], [0.333, 0.667, 0.500], [0.403, 0.000, 0.750], [0.403, 0.403, 0.250], [0.597, 0.000, 0.250], [0.597, 0.597, 0.750], [0.667, 0.333, 0.000], [0.667, 0.333, 0.500]],
  "delta_e_f_mev_per_atom": -462,
  "energy_ev_per_cell": -216.27
}

***

(10)
{
  "formula": "PbI2OF",
  "functional": "GGA-PBE",
  "state": "relaxed",
  "lattice": [[6.250, 0.000, 0.000], [0.000, 6.250, 0.000], [0.000, 0.000, 4.123]],
  "species": ["Pb", "I", "I", "O", "F"],
  "fractional_positions": [[0.000, 0.000, 0.000], [0.000, 0.500, 0.000], [0.500, 0.000, 0.000], [0.000, 0.000, 0.500], [0.500, 0.500, 0.500]],
  "energy_ev_per_cell": -13.91,
  "relative_energy_kcal_per_mol_atoms": 0.00,
  "formation_energy_uncorrected_ev_per_atom": -0.0545
}

***

(11)
{
  "formula": "TiCrOs2Ru",
  "functional": "GGA-PBE",
  "state": "relaxed",
  "lattice": [[4.642, 0.000, 0.000], [0.000, 4.642, 0.000], [0.000, 0.000, 4.499]],
  "species": ["Ti", "Cr", "Os", "Os", "Ru"],
  "fractional_positions": [[0.000, 0.000, 0.000], [0.500, 0.500, 0.000], [0.000, 0.500, 0.500], [0.500, 0.000, 0.500], [0.000, 0.000, 0.500]],
  "delta_e_f_mev_per_atom": 1889,
  "energy_ev_per_cell": -39.81
}

***

(12)
{
  "formula": "Si2Ni4Pd",
  "functional": "GGA-PBE",
  "state": "relaxed",
  "lattice": [[-2.251, 2.251, 5.755], [2.251, -2.251, 5.755], [2.251, 2.251, -5.755]],
  "species": ["Si", "Si", "Ni", "Ni", "Ni", "Ni", "Pd"],
  "fractional_positions": [[0.101, 0.101, 0.000], [0.899, 0.899, 0.000], [0.000, 0.500, 0.500], [0.285, 0.285, 0.000], [0.500, 0.000, 0.500], [0.715, 0.715, 0.000], [0.500, 0.500, 0.000]],
  "energy_ev_per_cell": -34.26,
  "relative_energy_kcal_per_mol_atoms": 25.98,
  "formation_energy_uncorrected_ev_per_atom": 0.7005
}